# 1
# K2Np2I7

An optimized crystal structure of K2Np2I7 (PBE-GGA, Alexandria via LeMat-Bulk).

Unit cell a=8.391 b=8.391 c=8.557 alpha=103.20 beta=103.20 gamma=70.41
Sites, in units of the cell vectors:
K (0.250, 0.750, 0.000)
K (0.750, 0.250, 0.000)
Np (0.243, 0.243, 0.536)
Np (0.757, 0.757, 0.464)
I (0.000, 0.000, 0.500)
I (0.037, 0.471, 0.259)
I (0.471, 0.037, 0.259)
I (0.471, 0.471, 0.716)
I (0.529, 0.529, 0.284)
I (0.529, 0.963, 0.741)
I (0.963, 0.529, 0.741)

Calculated values
DOS at the Fermi energy   12.26 states/eV per cell
Volume   545 Å³ per cell
Crystal system   monoclinic
Uncorrected energy   -49.452 eV/f.u.
Space-group type   C2/m (12)
Uncorrected formation energy   -957 meV per atom

***

# 2
# K2NpI6

An optimized crystal structure of K2NpI6 (PBE-GGA, Alexandria via LeMat-Bulk).

Unit cell a=8.201 b=8.904 c=14.023 alpha=90.00 beta=124.36 gamma=90.00
Sites, in units of the cell vectors:
K (0.218, 0.094, 0.247)
K (0.218, 0.406, 0.747)
K (0.782, 0.594, 0.253)
K (0.782, 0.906, 0.753)
Np (0.500, 0.000, 0.000)
Np (0.500, 0.500, 0.500)
I (0.145, 0.179, 0.947)
I (0.145, 0.321, 0.447)
I (0.277, 0.710, 0.951)
I (0.277, 0.790, 0.451)
I (0.355, 0.021, 0.750)
I (0.355, 0.479, 0.250)
I (0.645, 0.521, 0.750)
I (0.645, 0.979, 0.250)
I (0.723, 0.210, 0.549)
I (0.723, 0.290, 0.049)
I (0.855, 0.679, 0.553)
I (0.855, 0.821, 0.053)

Calculated values
DOS at the Fermi energy   8.29 states/eV per cell
Energy above the most stable polymorph in this dataset   0 meV per atom
Volume   845 Å³ per cell
Crystal system   monoclinic
Uncorrected energy   -34.496 eV/f.u.
Space-group type   P2_1/c (14)
Uncorrected formation energy   -1118 meV per atom